This record from the Alexandria database describes crystalline AgSnOs2Ru at its relaxed geometry. The functional is PBE.

a b c (Å): 4.868 4.815 4.868
angles (deg): 90.00 90.00 90.00
Site moments in Bohr magnetons follow the coordinates.
Sites, in units of the cell vectors:
1 Ru 0.500 0.500 0.500  2.12
2 Os 0.000 0.000 0.500  1.59
3 Os 0.500 0.000 0.000  1.34
4 Sn 0.000 0.500 0.000  -0.06
5 Ag 0.000 0.000 0.000  0.08

Results
Total magnetization in Bohr magnetons per cell: 5.28
Calculated total energy in eV/atom: -4.993
Space-group type: P4/mmm, No. 123
Formation energy from the elements in eV per atom: 2.72

***

This record from the Alexandria database describes crystalline AgSn2OsRu at its relaxed geometry. The functional is PBE.

a b c (Å): 4.955 5.084 4.955
angles (deg): 90.00 90.00 90.00
Site moments in Bohr magnetons follow the coordinates.
Sites, in units of the cell vectors:
1 Ru 0.000 0.000 0.000  0.31
2 Os 0.500 0.500 0.500  2.50
3 Sn 0.000 0.000 0.500  -0.01
4 Sn 0.500 0.000 0.000  0.00
5 Ag 0.000 0.500 0.000  0.04

Results
Total magnetization in Bohr magnetons per cell: 3.12
Calculated total energy in eV/atom: -4.857
Space-group type: P4/mmm, No. 123
Formation energy from the elements in eV per atom: 1.42